1.
Entry from Alexandria: Eu2Cu4Si3Ge after structural relaxation (PBE).

Calculated values
Density (g cm⁻³): 7.0
Total moment (μB per formula unit): 0.02
Energy relative to the elements, uncorrected (eV per atom): -0.4541

```
data_Eu2Cu4Si3Ge
_space_group_name_H-M_alt 'P 4 m m'
_space_group_IT_number 99
_space_group_name_Hall 'P 4 -2'
_cell_length_a 4.132
_cell_length_b 4.132
_cell_length_c 9.989
_cell_angle_alpha 90.00
_cell_angle_beta 90.00
_cell_angle_gamma 90.00
loop_
_atom_site_label
_atom_site_type_symbol
_atom_site_fract_x
_atom_site_fract_y
_atom_site_fract_z
Eu1 Eu 0.000 0.000 0.000
Eu2 Eu 0.500 0.500 0.495
Cu1 Cu 0.000 0.500 0.246
Cu2 Cu 0.000 0.500 0.754
Si1 Si 0.000 0.000 0.371
Si2 Si 0.500 0.500 0.119
Si3 Si 0.500 0.500 0.879
Ge1 Ge 0.000 0.000 0.617
```

2.
Entry from Alexandria: AcPm4Te6 after structural relaxation (PBE).

Calculated values
Density (g cm⁻³): 7.0
Total moment (μB per formula unit): 0.00
Energy relative to the elements, uncorrected (eV per atom): -1.4780

```
data_AcPm4Te6
_space_group_name_H-M_alt 'C m c m'
_space_group_IT_number 63
_space_group_name_Hall '-C 2c 2'
_cell_length_a 4.465
_cell_length_b 14.619
_cell_length_c 22.863
_cell_angle_alpha 90.00
_cell_angle_beta 90.00
_cell_angle_gamma 90.00
loop_
_atom_site_label
_atom_site_type_symbol
_atom_site_fract_x
_atom_site_fract_y
_atom_site_fract_z
Ac1 Ac 0.000 0.158 0.250
Pm1 Pm 0.000 0.091 0.623
Pm2 Pm 0.000 0.357 0.536
Te1 Te 0.000 0.000 0.000
Te2 Te 0.000 0.175 0.750
Te3 Te 0.000 0.265 0.094
Te4 Te 0.000 0.450 0.663
```

3.
Entry from Alexandria: SrBe2In after structural relaxation (PBE).

Calculated values
ΔE_f (meV per atom): 543.3
Density (g cm⁻³): 4.5
Total moment (μB per formula unit): 0.00

```
data_SrBe2In
_space_group_name_H-M_alt 'I -4 m 2'
_space_group_IT_number 119
_space_group_name_Hall 'I -4 -2'
_cell_length_a 4.850
_cell_length_b 4.850
_cell_length_c 6.893
_cell_angle_alpha 90.00
_cell_angle_beta 90.00
_cell_angle_gamma 90.00
loop_
_atom_site_label
_atom_site_type_symbol
_atom_site_fract_x
_atom_site_fract_y
_atom_site_fract_z
Sr1 Sr 0.000 0.000 0.000
Be1 Be 0.000 0.000 0.500
Be2 Be 0.000 0.500 0.750
In1 In 0.000 0.500 0.250
```

4.
Entry from Alexandria: AlGeAu after structural relaxation (PBE).

Calculated values
ΔE_f (meV per atom): 478.8
Density (g cm⁻³): 6.2
Total moment (μB per formula unit): 0.00

```
data_AlGeAu
_space_group_name_H-M_alt 'P 63/m m c'
_space_group_IT_number 194
_space_group_name_Hall '-P 6c 2c'
_cell_length_a 4.2887
_cell_length_b 4.2887
_cell_length_c 10.0137
_cell_angle_alpha 90.00
_cell_angle_beta 90.00
_cell_angle_gamma 120.00
loop_
_atom_site_label
_atom_site_type_symbol
_atom_site_fract_x
_atom_site_fract_y
_atom_site_fract_z
Al1 Al 0.0000 0.0000 0.2500
Ge1 Ge 0.0000 0.0000 0.0000
Au1 Au 0.3333 0.6667 0.2500
```

5.
Entry from Alexandria: Th4ReAuSe2 after structural relaxation (PBE).

Calculated values
Density (g cm⁻³): 10.9
Total moment (μB per formula unit): 0.00
Energy relative to the elements, uncorrected (eV per atom): -0.8821

```
data_Th4ReAuSe2
_space_group_name_H-M_alt 'P 1 2/m 1'
_space_group_IT_number 10
_space_group_name_Hall '-P 2y'
_cell_length_a 7.254
_cell_length_b 4.210
_cell_length_c 7.704
_cell_angle_alpha 90.00
_cell_angle_beta 108.09
_cell_angle_gamma 90.00
loop_
_atom_site_label
_atom_site_type_symbol
_atom_site_fract_x
_atom_site_fract_y
_atom_site_fract_z
Th1 Th 0.228 0.000 0.223
Th2 Th 0.236 0.500 0.771
Re1 Re 0.000 0.500 0.000
Au1 Au 0.500 0.000 0.000
Se1 Se 0.000 0.000 0.500
Se2 Se 0.500 0.500 0.500
```

6.
Entry from Alexandria: UIn2Hg after structural relaxation (PBE).

Calculated values
ΔE_f (meV per atom): 78.5
Density (g cm⁻³): 11.1
Total moment (μB per formula unit): 2.84

```
data_UIn2Hg
_space_group_name_H-M_alt 'P 4/m m m'
_space_group_IT_number 123
_space_group_name_Hall '-P 4 2'
_cell_length_a 4.650
_cell_length_b 4.650
_cell_length_c 4.605
_cell_angle_alpha 90.00
_cell_angle_beta 90.00
_cell_angle_gamma 90.00
loop_
_atom_site_label
_atom_site_type_symbol
_atom_site_fract_x
_atom_site_fract_y
_atom_site_fract_z
U1 U 0.000 0.000 0.000
In1 In 0.000 0.500 0.500
Hg1 Hg 0.500 0.500 0.000
```

7.
Entry from Alexandria: BeSnSb2 after structural relaxation (PBE).

Calculated values
Density (g cm⁻³): 6.5
Total moment (μB per formula unit): 0.00
Energy relative to the elements, uncorrected (eV per atom): 0.5529

```
data_BeSnSb2
_space_group_name_H-M_alt 'F m -3 m'
_space_group_IT_number 225
_space_group_name_Hall '-F 4 2 3'
_cell_length_a 7.235
_cell_length_b 7.235
_cell_length_c 7.235
_cell_angle_alpha 90.00
_cell_angle_beta 90.00
_cell_angle_gamma 90.00
loop_
_atom_site_label
_atom_site_type_symbol
_atom_site_fract_x
_atom_site_fract_y
_atom_site_fract_z
Be1 Be 0.000 0.000 0.000
Sn1 Sn 0.000 0.000 0.500
Sb1 Sb 0.250 0.250 0.250
```

8.
Entry from Alexandria: Ca9AcPr4 after structural relaxation (PBE).

Calculated values
ΔE_f (meV per atom): 169.3
Density (g cm⁻³): 3.2
Total moment (μB per formula unit): 1.90

```
data_Ca9AcPr4
_space_group_name_H-M_alt 'P 63/m m c'
_space_group_IT_number 194
_space_group_name_Hall '-P 6c 2c'
_cell_length_a 10.6546
_cell_length_b 10.6546
_cell_length_c 12.0049
_cell_angle_alpha 90.00
_cell_angle_beta 90.00
_cell_angle_gamma 120.00
loop_
_atom_site_label
_atom_site_type_symbol
_atom_site_fract_x
_atom_site_fract_y
_atom_site_fract_z
Ca1 Ca 0.0801 0.5401 0.2500
Ca2 Ca 0.2032 0.4063 0.5304
Ac1 Ac 0.3333 0.6667 0.7500
Pr1 Pr 0.0000 0.0000 0.0000
Pr2 Pr 0.1050 0.2100 0.2500
```